1.
The following is a PBE calculation of a geometry-optimized Dy5TcTe2 structure, from Alexandria.

```
Dy5TcTe2
1.0
2.8119 -7.8872 0.0000
2.8119 7.8872 0.0000
0.0000 0.0000 13.3128
Dy Tc Te
10 2 4
Cartesian
2.8119 7.0298 8.0909
2.8119 7.0298 11.8783
2.8119 3.4726 7.9305
2.8119 3.4726 12.0387
2.8119 2.9511 3.3282
2.8119 -2.9511 9.9846
2.8119 -3.4726 1.2741
2.8119 -3.4726 5.3823
2.8119 -7.0298 1.4345
2.8119 -7.0298 5.2219
2.8119 5.3057 9.9846
2.8119 -5.3057 3.3282
2.8119 5.4754 1.2735
2.8119 5.4754 5.3829
2.8119 -5.4754 7.9299
2.8119 -5.4754 12.0393
```

Properties
Raw formation energy: -0.3088 eV per atom
DFT total energy: -84.26 eV for the cell shown
Total magnetization: 0.00 Bohr magnetons per cell
Space group: Cmcm

---

2.
The following is a PBE calculation of a geometry-optimized Dy3TcTe structure, from Alexandria.

```
Dy3TcTe
1.0
7.5305 -2.4041 0.0000
7.5305 2.4041 0.0000
-3.4645 0.0000 7.7327
Dy Tc Te
6 2 2
Cartesian
0.2909 0.0000 1.6105
1.0445 0.0000 5.7340
5.4105 0.0000 1.1822
6.1860 0.0000 6.5505
10.5521 0.0000 1.9987
11.3057 0.0000 6.1222
2.5842 0.0000 0.0871
9.0124 0.0000 7.6456
3.8298 0.0000 4.0914
7.7667 0.0000 3.6413
```

Properties
Raw formation energy: -0.4882 eV per atom
DFT total energy: -59.51 eV for the cell shown
Total magnetization: 0.00 Bohr magnetons per cell
Space group: C2/m

---

3.
The following is a PBE calculation of a geometry-optimized DyTh2Tc structure, from Alexandria.

```
DyTh2Tc
1.0
7.3088 0.0000 0.0000
0.0000 9.7285 0.0000
0.0000 0.0000 6.3111
Dy Th Tc
4 8 4
Cartesian
0.2944 2.4321 0.9111
3.3601 7.2964 4.0666
3.9488 2.4321 2.2445
7.0145 7.2964 5.4000
1.2459 0.6093 4.2176
1.2459 4.2549 4.2176
2.4085 5.4736 1.0620
2.4085 9.1192 1.0620
4.9003 0.6093 5.2491
4.9003 4.2549 5.2491
6.0630 5.4736 2.0936
6.0630 9.1192 2.0936
0.8345 7.2964 2.5711
2.8199 2.4321 5.7267
4.4889 7.2964 0.5844
6.4743 2.4321 3.7400
```

Properties
DFT total energy: -121.19 eV for the cell shown
Total magnetization: 0.00 Bohr magnetons per cell
Space group: Pnma
Energy of formation from the pure elements: -122.3 meV/atom

---

4.
The following is a PBE calculation of a geometry-optimized Dy4Th3Tc2 structure, from Alexandria.

```
Dy4Th3Tc2
1.0
8.3655 -1.9467 0.0000
8.3655 1.9467 0.0000
-3.6512 0.0000 8.0987
Dy Th Tc
4 3 2
Cartesian
0.6137 0.0000 2.9857
1.4667 0.0000 6.9257
11.6131 0.0000 1.1730
12.4661 0.0000 5.1131
5.8252 0.0000 2.5235
8.3655 0.0000 0.0000
7.2546 0.0000 5.5752
-1.6695 0.0000 7.4273
14.7493 0.0000 0.6714
```

Properties
DFT total energy: -61.88 eV for the cell shown
Total magnetization: 0.00 Bohr magnetons per cell
Space group: C2/m
Energy of formation from the pure elements: -53.2 meV/atom